No. 1
VASP calculation (SCAN) on a PBEsol-optimized structure of ZrP2IrO.

Results
As for the uncorrected formation energy: 1.23 eV/f.u.

Lattice parameters (Å, degrees): 5.0047 5.0047 3.7875 90.00 90.00 90.00
Space group P4/mmm (No. 123)
Inequivalent atoms, fractional coordinates:
Zr 0.0000 0.0000 0.0000 x1
P 0.0000 0.5000 0.0000 x2
Ir 0.5000 0.5000 0.5000 x1
O 0.0000 0.0000 0.5000 x1

No. 2
VASP calculation (SCAN) on a PBEsol-optimized structure of CaMnZn2.

Results
As for the formation energy: -0.165 eV/atom.

Lattice parameters (Å, degrees): 4.2783 4.2783 15.3337 90.00 90.00 120.00
Space group R3m (No. 160, hexagonal axes)
Inequivalent atoms, fractional coordinates:
Ca 0.0000 0.0000 0.0000 x3
Mn 0.0000 0.0000 0.8058 x3
Zn 0.0000 0.0000 0.1938 x3
Zn 0.0000 0.0000 0.5050 x3

What N(E_F) values result from the calculations? In sequence: 0.79, 0.57 states/eV/atom.
What E values result from the calculations? In sequence: -25.519, -13.902 eV per atom.
What calculated density values result from the calculations? In sequence: 6.3, 4.6 g/cm³.